The following is a DFT calculation (PBE-GGA) of a geometry-optimized NdAlCu structure.

Output
The final energy comes out at -35.84 eV for the cell shown. For the calculated density, the calculation gives 6.29 g/cm3. As for the total magnetic moment: 0.001 μB per atom. The volume comes out at 186 Å³/cell.

a = 8.2946 Å, b = 8.2946 Å, c = 3.1223 Å
α = 90.00°, β = 90.00°, γ = 120.00°
Closest atoms and distances in Å follow each position.
Space group P-62m (No. 189)
Unique sites:
Nd: 0.0000 0.2939 0.0000  4 Al 2.89-2.94, 2 Nd 3.12, 6 Cu 3.19-3.22
Al: 0.0000 0.0000 0.5000  6 Nd 2.89, 3 Cu 3.04, 2 Al 3.12
Al: 0.3333 0.6667 0.0000  3 Nd 2.94, 6 Cu 3.07, 2 Al 3.12
Cu: 0.0000 0.6341 0.5000  5 Al 3.04-3.07, 2 Cu 3.12, 6 Nd 3.19-3.22